Here is crystalline KNb3Si at its relaxed geometry from the Alexandria database. Energies are from PBE-GGA.

Calculated values
Raw formation energy: 1.10 eV/atom
Calculated density: 4.9 g/cm³
Magnetic moment: 0.0 μB per cell

abc: 4.8935 4.8935 4.8935
angles: 90.00 90.00 90.00
Last column: nearest neighbours and their distance in Å.
Space group Pm-3m (No. 221)
One atom of each set of equivalent atoms:
K: 0.0000 0.0000 0.0000 x1  12 Nb 3.46
Nb: 0.0000 0.5000 0.5000 x3  2 Si 2.45
Si: 0.5000 0.5000 0.5000 x1  6 Nb 2.45

***

Here is crystalline K2NbTlSi at its relaxed geometry from the Alexandria database. Energies are from PBE-GGA.

Calculated values
Raw formation energy: 0.88 eV/atom
Calculated density: 3.2 g/cm³
Magnetic moment: 3.0 μB per cell

abc: 6.5381 6.5381 4.9443
angles: 90.00 90.00 90.00
Last column: nearest neighbours and their distance in Å.
Space group P4/mmm (No. 123)
One atom of each set of equivalent atoms:
K: 0.0000 0.5000 0.0000 x2  2 Nb 3.27
Nb: 0.0000 0.0000 0.0000 x1  2 Si 2.47
Tl: 0.5000 0.5000 0.5000 x1  8 K 4.10
Si: 0.0000 0.0000 0.5000 x1  2 Nb 2.47

***

Here is crystalline KNbSn2 at its relaxed geometry from the Alexandria database. Energies are from PBE-GGA.

Calculated values
Calculated density: 3.5 g/cm³
Magnetic moment: 0.0 μB per cell
Energy relative to the elements: 0.4580 eV per atom

abc: 6.3645 6.3645 17.2877
angles: 90.00 90.00 90.00
Last column: nearest neighbours and their distance in Å.
Space group I-42d (No. 122)
One atom of each set of equivalent atoms:
K: 0.0000 0.0000 0.0000 x4  8 Sn 3.97-4.37
Nb: 0.0000 0.0000 0.5000 x4  4 Sn 2.70
Sn: 0.0414 0.2500 0.6250 x8  2 Nb 2.70

***

Here is crystalline KNb3Sn at its relaxed geometry from the Alexandria database. Energies are from PBE-GGA.

Calculated values
Calculated density: 7.0 g/cm³
Magnetic moment: 0.0 μB per cell
Energy relative to the elements: 2.3098 eV per atom

abc: 4.6936 4.6936 4.6936
angles: 90.00 90.00 90.00
Last column: nearest neighbours and their distance in Å.
Space group Pm-3m (No. 221)
One atom of each set of equivalent atoms:
K: 0.0000 0.0000 0.0000 x1  6 Nb 2.35
Nb: 0.0000 0.0000 0.5000 x3  2 K 2.35
Sn: 0.5000 0.5000 0.5000 x1  12 Nb 3.32

***

Here is crystalline KNb3Sn at its relaxed geometry from the Alexandria database. Energies are from PBE-GGA.

Calculated values
Calculated density: 5.0 g/cm³
Magnetic moment: 0.0 μB per cell
Energy relative to the elements: 1.7418 eV per atom

abc: 5.2474 5.2474 5.2474
angles: 90.00 90.00 90.00
Last column: nearest neighbours and their distance in Å.
Space group Pm-3m (No. 221)
One atom of each set of equivalent atoms:
K: 0.0000 0.0000 0.0000 x1  12 Nb 3.71
Nb: 0.0000 0.5000 0.5000 x3  2 Sn 2.62
Sn: 0.5000 0.5000 0.5000 x1  6 Nb 2.62

***

Here is crystalline KNbSn2 at its relaxed geometry from the Alexandria database. Energies are from PBE-GGA.

Calculated values
Calculated density: 6.1 g/cm³
Magnetic moment: 10.1 μB per cell
Energy relative to the elements: 0.4440 eV per atom

abc: 7.3914 7.3914 7.3914
angles: 90.00 90.00 90.00
Last column: nearest neighbours and their distance in Å.
Space group Fm-3m (No. 225)
One atom of each set of equivalent atoms:
K: 0.0000 0.0000 0.0000 x4  8 Sn 3.20
Nb: 0.0000 0.0000 0.5000 x4  8 Sn 3.20
Sn: 0.2500 0.2500 0.2500 x8  4 Nb 3.20, 4 K 3.20

***

Here is crystalline K2SrNbSn at its relaxed geometry from the Alexandria database. Energies are from PBE-GGA.

Calculated values
Calculated density: 2.3 g/cm³
Magnetic moment: 4.7 μB per cell
Energy relative to the elements: 1.4485 eV per atom

abc: 6.7446 6.7446 5.9522
angles: 90.00 90.00 90.00
Last column: nearest neighbours and their distance in Å.
Space group P4/mmm (No. 123)
One atom of each set of equivalent atoms:
K: 0.0000 0.5000 0.0000 x2  2 Sr 3.37
Sr: 0.0000 0.0000 0.0000 x1  2 Sn 2.98
Nb: 0.5000 0.5000 0.5000 x1  8 K 4.50, 4 Sn 4.77
Sn: 0.0000 0.0000 0.5000 x1  2 Sr 2.98

***

Here is crystalline KSrNb2Sn at its relaxed geometry from the Alexandria database. Energies are from PBE-GGA.

Calculated values
Calculated density: 5.1 g/cm³
Magnetic moment: 0.9 μB per cell
Energy relative to the elements: 1.8773 eV per atom

abc: 4.9166 4.9166 5.7946
angles: 90.00 90.00 90.00
Last column: nearest neighbours and their distance in Å.
Space group P4/mmm (No. 123)
One atom of each set of equivalent atoms:
K: 0.0000 0.0000 0.0000 x1  4 Nb 2.46
Sr: 0.5000 0.5000 0.5000 x1  4 Sn 3.48, 8 Nb 3.80
Nb: 0.0000 0.5000 0.0000 x2  2 K 2.46
Sn: 0.0000 0.0000 0.5000 x1  2 K 2.90

***

Here is crystalline KNbV2Sn at its relaxed geometry from the Alexandria database. Energies are from PBE-GGA.

Calculated values
Calculated density: 4.0 g/cm³
Magnetic moment: 4.7 μB per cell
Energy relative to the elements: 2.0840 eV per atom

abc: 5.0424 5.0424 5.6909
angles: 90.00 90.00 90.00
Last column: nearest neighbours and their distance in Å.
Space group P4/mmm (No. 123)
One atom of each set of equivalent atoms:
K: 0.0000 0.0000 0.0000 x1  2 Sn 2.85
Nb: 0.5000 0.5000 0.0000 x1  4 K 3.57, 8 V 3.80
V: 0.0000 0.5000 0.5000 x2  2 Sn 2.52
Sn: 0.0000 0.0000 0.5000 x1  4 V 2.52

***

Here is crystalline KZr2NbSn at its relaxed geometry from the Alexandria database. Energies are from PBE-GGA.

Calculated values
Calculated density: 6.4 g/cm³
Magnetic moment: 0.0 μB per cell
Energy relative to the elements: 1.8867 eV per atom

abc: 4.9198 4.9198 4.6582
angles: 90.00 90.00 90.00
Last column: nearest neighbours and their distance in Å.
Space group P4/mmm (No. 123)
One atom of each set of equivalent atoms:
K: 0.0000 0.0000 0.0000 x1  2 Nb 2.33, 4 Zr 2.46
Zr: 0.0000 0.5000 0.0000 x2  2 K 2.46
Nb: 0.0000 0.0000 0.5000 x1  2 K 2.33
Sn: 0.5000 0.5000 0.5000 x1  8 Zr 3.39, 4 Nb 3.48

***

Here is crystalline K2SrNb at its relaxed geometry from the Alexandria database. Energies are from PBE-GGA.

Calculated values
Calculated density: 2.3 g/cm³
Magnetic moment: 19.4 μB per cell
Energy relative to the elements: 1.1144 eV per atom

abc: 5.1516 5.1516 28.1850
angles: 90.00 90.00 90.00
Last column: nearest neighbours and their distance in Å.
Space group I-42d (No. 122)
One atom of each set of equivalent atoms:
K: 0.2293 0.2500 0.1250 x8  4 K 3.50-3.80
Sr: 0.0000 0.0000 0.5000 x4  4 Nb 3.64, 4 K 4.00
Nb: 0.0000 0.0000 0.0000 x4  4 Sr 3.64, 4 K 3.93

***

Here is crystalline KSrNb at its relaxed geometry from the Alexandria database. Energies are from PBE-GGA.

Calculated values
Calculated density: 2.7 g/cm³
Magnetic moment: 0.0 μB per cell
Energy relative to the elements: 0.5745 eV per atom

abc: 4.1511 5.1045 25.6131
angles: 90.00 90.00 90.00
Last column: nearest neighbours and their distance in Å.
Space group Pnma (No. 62)
One atom of each set of equivalent atoms:
K: 0.2453 0.2500 0.0662 x4  1 Nb 3.98, 2 K 4.15, 4 Sr 4.45
Sr: 0.2436 0.7500 0.3167 x4  6 Nb 3.43-3.53
Nb: 0.2434 0.2500 0.2216 x4  2 Nb 2.53

***

Number 5 is which compound? KNb3Sn

***

What is the calculated density in the eleventh record? 2.3 g/cm³